{
  "formula": "Mg5Tl5Pb",
  "functional": "GGA-PBE",
  "state": "relaxed",
  "cell": [[6.283, -2.878, 0.000], [6.283, 2.878, 0.000], [-1.968, 0.000, 8.531]],
  "species": ["Mg", "Mg", "Mg", "Mg", "Mg", "Tl", "Tl", "Tl", "Tl", "Tl", "Pb"],
  "frac_coords": [[0.000, 0.000, 0.000], [0.277, 0.277, 0.090], [0.325, 0.325, 0.730], [0.675, 0.675, 0.270], [0.723, 0.723, 0.910], [0.086, 0.086, 0.711], [0.195, 0.195, 0.391], [0.500, 0.500, 0.500], [0.805, 0.805, 0.609], [0.914, 0.914, 0.289], [0.500, 0.500, 0.000]],
  "energy_ev_per_atom": -2.061,
  "delta_e_f_kj_per_mol_fu": 80.8,
  "m_tot_mub_per_fu": 0.0
}



{
  "formula": "MgTlPb",
  "functional": "GGA-PBE",
  "state": "relaxed",
  "cell": [[3.426, 0.000, 0.000], [1.351, 5.391, 0.000], [0.972, 0.533, 9.352]],
  "species": ["Mg", "Mg", "Tl", "Tl", "Pb", "Pb"],
  "frac_coords": [[0.159, 0.222, 0.423], [0.841, 0.778, 0.577], [0.228, 0.244, 0.084], [0.772, 0.756, 0.916], [0.477, 0.688, 0.291], [0.523, 0.312, 0.709]],
  "energy_ev_per_atom": -2.562,
  "delta_e_f_kj_per_mol_fu": -1.7,
  "e_above_lowest_polymorph_kj_per_mol_fu": 3.8,
  "m_tot_mub_per_fu": 0.0
}